Record 1
DFT (PBE-GGA) results for a relaxed structure of Pr4MgTe7.

Computed properties:
The calculation puts the formation energy without anion corrections at -1.32 eV/atom.

Lattice parameters (Å, degrees): 14.6075 4.4012 13.3521 90.00 105.76 90.00
With the nearest neighbours (Å) after each atom.
Space group Cm (No. 8)
Symmetry-distinct sites (fractional):
Pr 0.0000 0.0000 0.0000  6 Te 3.13-3.26
Pr 0.0658 0.5000 0.3466  6 Te 3.17-3.39
Pr 0.1795 0.0000 0.7563  7 Te 3.19-3.42
Pr 0.3722 0.5000 0.5575  6 Te 3.12-3.19
Mg 0.2661 0.5000 0.1385  6 Te 2.89-3.05
Te 0.0362 0.5000 0.6096  4 Pr 3.19-3.29
Te 0.1313 0.5000 0.9242  1 Mg 3.00, 4 Pr 3.26-3.35
Te 0.1582 0.0000 0.2133  2 Mg 3.03, 3 Pr 3.14-3.34
Te 0.2082 0.0000 0.5105  5 Pr 3.19-3.42
Te 0.3423 0.5000 0.7825  4 Pr 3.15-3.19
Te 0.3942 0.0000 0.0931  2 Mg 3.05, 2 Pr 3.13
Te 0.4071 0.5000 0.3374  1 Mg 2.89, 3 Pr 3.12-3.17


Record 2
DFT (PBE-GGA) results for a relaxed structure of PmTm2Sc.

Computed properties:
As for the total energy: -19.91 eV per formula unit.

Lattice parameters (Å, degrees): 3.5023 3.5027 11.3560 90.02 98.86 119.97
With the nearest neighbours (Å) after each atom.
Space group P1 (No. 1)
Symmetry-distinct sites (fractional):
Pm 0.0000 0.0000 0.0000  6 Pm 3.50, 6 Tm 3.54-3.59
Tm 0.1621 0.5809 0.7400  3 Sc 3.32-3.33, 6 Tm 3.50, 3 Pm 3.54
Tm 0.8478 0.4224 0.2651  3 Sc 3.35, 6 Tm 3.50, 3 Pm 3.58-3.59
Sc 0.6721 0.8353 0.5040  6 Tm 3.32-3.35, 6 Sc 3.50


Record 3
DFT (PBE-GGA) results for a relaxed structure of CdSn2Au7.

Computed properties:
As for the total energy: -32.55 eV per formula unit.

Lattice parameters (Å, degrees): 4.1884 4.1884 24.2025 90.00 90.00 90.00
With the nearest neighbours (Å) after each atom.
Space group I4/mmm (No. 139)
Symmetry-distinct sites (fractional):
Cd 0.0000 0.0000 0.0000  12 Au 2.96-2.99
Sn 0.0000 0.0000 0.3315  8 Au 2.86-2.88
Au 0.0000 0.0000 0.5000  4 Cd 2.96, 8 Au 2.99
Au 0.0000 0.5000 0.0882  2 Sn 2.86, 6 Au 2.96-2.99, 2 Cd 2.99
Au 0.0000 0.5000 0.2500  4 Sn 2.88, 4 Au 2.96


DOS at the Fermi energy for the records above, in order: 0.014 1.707 0.368 states/eV per atom